[1]
This record from the Alexandria database describes a geometry-optimized CaEr5Bi6 structure. The functional is GGA-PBE.

The structure in extended XYZ format:
```
12
Lattice="7.604 -0.122 -1.433 -4.112 6.398 -1.433 0.156 0.280 7.764" Properties=species:S:1:pos:R:3 pbc="T T T"
Ca 0.000 0.000 0.000
Bi 2.912 0.563 1.239
Bi 4.705 3.785 3.659
Bi 1.008 1.812 5.080
Bi 2.640 4.744 -0.182
Bi -1.057 2.771 1.239
Bi 0.737 5.994 3.659
Er 5.758 1.089 2.449
Er 3.712 2.044 -1.433
Er 1.824 3.278 2.449
Er -0.219 4.232 -1.433
Er -2.110 5.467 2.449
```

## Properties
Space group ... No. 12
E_tot ... -57.63 eV/f.u.
Crystal system ... monoclinic
Magnetization ... 0.00 μB per formula unit
ΔE_f ... -0.794 eV/atom

[2]
This record from the Alexandria database describes a geometry-optimized Ca2ErBi structure. The functional is GGA-PBE.

The structure in extended XYZ format:
```
4
Lattice="3.657 0.000 0.000 1.829 3.167 0.000 1.829 1.056 12.391" Properties=species:S:1:pos:R:3 pbc="T T T"
Ca 1.829 1.056 9.171
Ca 5.486 3.167 3.220
Bi 0.000 0.000 0.000
Er 3.657 2.111 6.196
```

## Properties
Space group ... No. 166
E_tot ... -12.33 eV/f.u.
Crystal system ... trigonal
Magnetization ... 0.01 μB per formula unit
ΔE_f ... 0.029 eV/atom

[3]
This record from the Alexandria database describes a geometry-optimized CaEr3Bi2 structure. The functional is GGA-PBE.

The structure in extended XYZ format:
```
12
Lattice="-2.331 -1.301 3.531 8.458 -6.685 0.346 -0.190 9.432 3.349" Properties=species:S:1:pos:R:3 pbc="T T T"
Ca 4.355 2.014 6.391
Ca 1.582 -0.567 0.835
Er 4.413 0.207 2.989
Er 5.186 -1.871 5.508
Er 0.722 4.812 5.024
Er 5.216 -3.366 2.203
Er 0.751 3.318 1.718
Er 1.524 1.240 4.237
Bi 7.042 0.517 4.838
Bi -1.104 0.930 2.388
Bi 2.459 -2.346 3.533
Bi 3.478 3.792 3.693
```

## Properties
Space group ... No. 12
E_tot ... -26.19 eV/f.u.
Crystal system ... monoclinic
Magnetization ... 0.00 μB per formula unit
ΔE_f ... -0.456 eV/atom

[4]
This record from the Alexandria database describes a geometry-optimized CaEr3Bi4 structure. The functional is GGA-PBE.

The structure in extended XYZ format:
```
16
Lattice="-1.669 0.987 7.504 7.505 -1.950 -0.757 2.192 8.692 -0.656" Properties=species:S:1:pos:R:3 pbc="T T T"
Ca 0.669 8.356 5.054
Ca -0.146 1.323 1.795
Bi 3.249 4.909 -0.570
Bi 3.008 7.556 2.980
Bi 1.884 3.299 3.341
Bi 0.550 1.610 7.218
Bi 7.478 6.119 -1.127
Bi 6.144 4.429 2.750
Bi 5.020 0.173 3.111
Bi 4.780 2.820 6.661
Er -0.433 3.988 5.383
Er 0.956 5.690 1.465
Er 3.873 5.204 4.839
Er 2.772 0.839 5.168
Er 4.156 2.525 1.252
Er 5.256 6.889 0.923
```

## Properties
Space group ... No. 13
E_tot ... -37.42 eV/f.u.
Crystal system ... monoclinic
Magnetization ... 0.00 μB per formula unit
ΔE_f ... -0.775 eV/atom

[5]
This record from the Alexandria database describes a geometry-optimized CaErBi structure. The functional is GGA-PBE.

The structure in extended XYZ format:
```
3
Lattice="4.333 0.000 0.000 0.000 5.165 0.000 0.000 -2.582 4.473" Properties=species:S:1:pos:R:3 pbc="T T T"
Ca 2.720 2.582 1.491
Bi 1.163 0.000 2.982
Er 0.450 0.000 0.000
```

## Properties
Space group ... No. 156
E_tot ... -11.35 eV/f.u.
Crystal system ... trigonal
Magnetization ... 0.00 μB per formula unit
ΔE_f ... -0.303 eV/atom

[6]
This record from the Alexandria database describes a geometry-optimized CaHo3Er2Bi6 structure. The functional is GGA-PBE.

The structure in extended XYZ format:
```
12
Lattice="-0.867 3.958 1.892 -6.084 -3.887 5.344 8.698 -2.639 4.223" Properties=species:S:1:pos:R:3 pbc="T T T"
Ca -0.434 1.979 0.946
Ho -3.476 0.036 3.618
Ho 4.100 0.891 5.301
Ho -2.354 -3.458 6.157
Er 1.018 -1.058 7.965
Er 0.728 -1.510 3.493
Bi -0.097 -3.988 8.300
Bi -1.214 -0.507 5.789
Bi 1.844 1.421 3.158
Bi -1.547 -0.999 1.381
Bi 3.293 -1.568 10.077
Bi 2.961 -2.061 5.669
```

## Properties
Space group ... No. 12
E_tot ... -57.77 eV/f.u.
Crystal system ... monoclinic
Magnetization ... 0.00 μB per formula unit
ΔE_f ... -0.802 eV/atom

[7]
This record from the Alexandria database describes a geometry-optimized CaHo2Er3Bi6 structure. The functional is GGA-PBE.

The structure in extended XYZ format:
```
12
Lattice="4.470 0.000 0.000 0.000 8.973 0.322 -2.235 -2.583 9.420" Properties=species:S:1:pos:R:3 pbc="T T T"
Ca 2.235 0.000 0.000
Ho 2.235 4.270 6.504
Ho 0.000 2.120 3.238
Er 2.235 4.487 0.161
Er 2.235 -0.243 6.371
Er 0.000 6.633 3.371
Bi 0.000 6.506 6.518
Bi 2.235 4.378 3.331
Bi 2.235 -0.115 3.224
Bi 0.000 2.306 0.090
Bi 2.235 4.084 9.653
Bi 0.000 2.012 6.411
```

## Properties
Space group ... No. 12
E_tot ... -57.72 eV/f.u.
Crystal system ... monoclinic
Magnetization ... 0.00 μB per formula unit
ΔE_f ... -0.799 eV/atom

[8]
This record from the Alexandria database describes a geometry-optimized CaErInBi structure. The functional is GGA-PBE.

The structure in extended XYZ format:
```
4
Lattice="-2.308 4.515 -2.050 -4.319 2.240 2.499 0.528 4.772 2.620" Properties=species:S:1:pos:R:3 pbc="T T T"
Ca -1.525 2.882 0.767
In 0.000 0.000 0.000
Bi -3.049 5.764 1.534
Er -4.574 8.646 2.301
```

## Properties
Space group ... No. 216
E_tot ... -15.00 eV/f.u.
Crystal system ... cubic
Magnetization ... 0.43 μB per formula unit
ΔE_f ... -0.454 eV/atom

[9]
This record from the Alexandria database describes a geometry-optimized CaLa2ErBi4 structure. The functional is GGA-PBE.

The structure in extended XYZ format:
```
8
Lattice="-3.335 -2.205 2.369 3.802 -7.052 -1.210 2.563 3.297 6.677" Properties=species:S:1:pos:R:3 pbc="T T T"
Ca 0.233 -4.628 0.580
La -0.386 0.546 4.523
La 3.183 -1.877 2.733
Er 0.000 0.000 0.000
Bi -0.142 -2.019 2.479
Bi 3.172 -3.941 5.357
Bi 2.884 0.757 4.765
Bi 3.481 -4.512 0.702
```

## Properties
Space group ... No. 10
E_tot ... -38.93 eV/f.u.
Crystal system ... monoclinic
Magnetization ... 0.00 μB per formula unit
ΔE_f ... -0.874 eV/atom

[10]
This record from the Alexandria database describes a geometry-optimized CaNd2Er3Bi6 structure. The functional is GGA-PBE.

The structure in extended XYZ format:
```
12
Lattice="-0.943 4.426 0.000 -8.318 -1.773 3.180 5.888 -1.058 8.198" Properties=species:S:1:pos:R:3 pbc="T T T"
Ca -0.472 2.213 0.000
Nd -2.418 1.798 7.615
Nd -0.955 -0.203 3.762
Er -4.631 1.327 1.590
Er 1.756 2.688 5.998
Er -5.130 -1.093 5.379
Bi -4.098 -0.873 8.363
Bi -3.581 1.550 4.572
Bi 0.724 2.468 3.014
Bi 2.775 2.905 8.965
Bi -6.149 -1.310 2.413
Bi 0.207 0.044 6.806
```

## Properties
Space group ... No. 12
E_tot ... -58.50 eV/f.u.
Crystal system ... monoclinic
Magnetization ... 0.00 μB per formula unit
ΔE_f ... -0.832 eV/atom

[11]
This record from the Alexandria database describes a geometry-optimized CaErBi2O6 structure. The functional is GGA-PBE.

The structure in extended XYZ format:
```
10
Lattice="5.899 0.000 0.000 2.950 5.109 0.000 2.950 1.703 5.206" Properties=species:S:1:pos:R:3 pbc="T T T"
Ca 8.849 5.109 3.018
Er 2.950 1.703 0.350
Bi 5.899 3.406 2.241
Bi 2.950 1.703 4.905
O 4.969 1.477 1.263
O 4.694 5.176 1.263
O 8.035 3.565 1.263
O 6.691 4.906 3.935
O 6.803 1.971 3.935
O 4.204 3.341 3.935
```

## Properties
Space group ... No. 146
E_tot ... -65.04 eV/f.u.
Crystal system ... trigonal
Magnetization ... 0.00 μB per formula unit
Formation energy (no corrections) ... -2.10 eV per atom

[12]
This record from the Alexandria database describes a geometry-optimized Ca2Er2Bi2P structure. The functional is GGA-PBE.

The structure in extended XYZ format:
```
7
Lattice="5.201 0.000 0.000 0.000 5.201 0.000 -2.601 -2.601 8.219" Properties=species:S:1:pos:R:3 pbc="T T T"
Ca 0.000 0.000 2.822
Ca 2.601 2.601 5.397
Er 0.000 2.601 0.000
Er 2.601 0.000 0.000
Bi 0.000 0.000 6.042
Bi 2.601 2.601 2.176
P 0.000 0.000 0.000
```

## Properties
Space group ... No. 139
E_tot ... -32.82 eV/f.u.
Crystal system ... tetragonal
Magnetization ... 0.00 μB per formula unit
ΔE_f ... -0.932 eV/atom